The following is a DFT calculation (PBE) of a relaxed structure of U4TlNi3S12.

a b c (Å): 8.324 8.324 8.324
angles (deg): 109.47 109.47 109.47
Sites, in units of the cell vectors:
S 0.673 0.838 0.511
S 0.327 0.838 0.166
S 0.327 0.162 0.489
S 0.489 0.327 0.162
S 0.162 0.489 0.327
S 0.838 0.166 0.327
S 0.834 0.673 0.162
S 0.511 0.673 0.838
S 0.673 0.162 0.834
S 0.166 0.327 0.838
S 0.838 0.511 0.673
S 0.162 0.834 0.673
U 0.000 0.500 0.000
U 0.500 0.000 0.000
U 0.000 0.000 0.500
U 0.500 0.500 0.500
Ni 0.000 0.500 0.500
Ni 0.500 0.000 0.500
Ni 0.500 0.500 0.000
Tl 0.000 0.000 0.000

Calculated values
formation energy without anion corrections = -826.4 meV per atom

The following is a DFT calculation (PBE) of a relaxed structure of Tl3Ni2WS6.

a b c (Å): 6.103 6.103 7.904
angles (deg): 97.35 97.35 120.18
Sites, in units of the cell vectors:
S 0.289 0.289 0.838
S 0.053 0.397 0.162
S 0.603 0.947 0.838
S 0.711 0.711 0.162
S 0.397 0.053 0.162
S 0.947 0.603 0.838
Tl 0.834 0.166 0.500
Tl 0.500 0.500 0.500
Tl 0.166 0.834 0.500
W 0.000 0.000 0.000
Ni 0.666 0.334 0.000
Ni 0.334 0.666 0.000

Calculated values
formation energy without anion corrections = -249.2 meV per atom

The following is a DFT calculation (PBE) of a relaxed structure of Zr3Tl3NiS8.

a b c (Å): 7.375 7.380 8.816
angles (deg): 114.75 90.01 119.96
Sites, in units of the cell vectors:
Zr 0.000 0.500 0.500
Zr 0.500 0.500 0.500
Zr 0.500 0.000 0.500
S 0.737 0.960 0.683
S 0.263 0.040 0.317
S 0.223 0.446 0.683
S 0.268 0.537 0.305
S 0.777 0.040 0.316
S 0.223 0.960 0.684
S 0.777 0.554 0.317
S 0.732 0.463 0.695
Tl 0.000 0.000 0.000
Tl 0.000 0.500 0.000
Tl 0.500 0.500 0.000
Ni 0.000 0.000 0.500

Calculated values
formation energy without anion corrections = -984.3 meV per atom

The following is a DFT calculation (PBE) of a relaxed structure of Zr2TlNiS4.

a b c (Å): 3.692 6.908 13.191
angles (deg): 90.00 90.00 105.50
Sites, in units of the cell vectors:
S 0.744 0.488 0.605
S 0.000 0.000 0.000
S 0.256 0.512 0.395
S 0.436 0.871 0.750
S 0.564 0.129 0.250
S 0.256 0.512 0.105
S 0.000 0.000 0.500
S 0.744 0.488 0.895
Zr 0.623 0.246 0.069
Zr 0.377 0.754 0.931
Zr 0.377 0.754 0.569
Zr 0.623 0.246 0.431
Tl 0.878 0.756 0.250
Tl 0.122 0.244 0.750
Ni 0.165 0.331 0.250
Ni 0.835 0.669 0.750

Calculated values
formation energy without anion corrections = -1110.0 meV per atom

The following is a DFT calculation (PBE) of a relaxed structure of TmNiS2.

a b c (Å): 3.984 3.984 7.461
angles (deg): 74.51 74.51 60.00
Sites, in units of the cell vectors:
S 0.100 0.100 0.700
S 0.900 0.900 0.300
Tm 0.500 0.500 0.500
Ni 0.000 0.000 0.000

Calculated values
formation energy without anion corrections = -1056.8 meV per atom

The following is a DFT calculation (PBE) of a relaxed structure of Tm6Ni2S.

a b c (Å): 6.297 6.946 9.800
angles (deg): 90.00 87.59 90.00
Sites, in units of the cell vectors:
Tm 0.341 0.813 0.572
Tm 0.181 0.333 0.574
Tm 0.819 0.667 0.426
Tm 0.345 0.545 0.255
Tm 0.155 0.045 0.245
Tm 0.841 0.687 0.072
Tm 0.659 0.187 0.428
Tm 0.845 0.955 0.755
Tm 0.159 0.313 0.928
Tm 0.655 0.455 0.745
Tm 0.681 0.167 0.074
Tm 0.319 0.833 0.926
Ni 0.943 0.388 0.238
Ni 0.557 0.888 0.262
Ni 0.443 0.112 0.738
Ni 0.057 0.612 0.762
S 0.000 0.000 0.500
S 0.500 0.500 0.000

Calculated values
formation energy without anion corrections = -627.7 meV per atom

The following is a DFT calculation (PBE) of a relaxed structure of Tm4Ni2S.

a b c (Å): 3.626 6.808 6.919
angles (deg): 72.93 74.81 74.55
Sites, in units of the cell vectors:
Tm 0.678 0.725 0.920
Tm 0.916 0.767 0.400
Tm 0.322 0.275 0.080
Tm 0.084 0.233 0.600
S 0.000 0.000 0.000
Ni 0.614 0.455 0.317
Ni 0.386 0.545 0.683

Calculated values
formation energy without anion corrections = -806.9 meV per atom

The following is a DFT calculation (PBE) of a relaxed structure of Tm5NiS4.

a b c (Å): 3.785 6.792 8.681
angles (deg): 75.55 77.41 73.82
Sites, in units of the cell vectors:
Tm 0.000 0.500 0.500
Tm 0.594 0.717 0.095
Tm 0.806 0.097 0.292
Tm 0.194 0.903 0.708
Tm 0.406 0.283 0.905
S 0.605 0.202 0.589
S 0.395 0.798 0.411
S 0.196 0.406 0.202
S 0.804 0.594 0.798
Ni 0.000 0.000 0.000

Calculated values
formation energy without anion corrections = -1636.9 meV per atom

The following is a DFT calculation (PBE) of a relaxed structure of TmNiS.

a b c (Å): 3.598 3.597 9.740
angles (deg): 90.00 90.00 120.01
Sites, in units of the cell vectors:
Ni 0.611 0.222 0.380
Ni 0.611 0.222 0.620
S 0.611 0.222 0.000
S 0.278 0.556 0.500
Tm 0.278 0.555 0.195
Tm 0.278 0.555 0.805

Calculated values
formation energy without anion corrections = -804.7 meV per atom

The following is a DFT calculation (PBE) of a relaxed structure of Tm6NiS5.

a b c (Å): 6.685 6.709 6.706
angles (deg): 59.99 80.27 70.26
Sites, in units of the cell vectors:
Ni 0.000 0.000 0.000
Tm 0.755 0.759 0.000
Tm 0.760 0.401 0.677
Tm 0.240 0.599 0.323
Tm 0.760 0.078 0.323
Tm 0.245 0.241 0.000
Tm 0.240 0.922 0.677
S 0.000 0.665 0.670
S 0.000 0.335 0.330
S 0.500 0.825 0.349
S 0.500 0.175 0.651
S 0.500 0.500 0.000

Calculated values
formation energy without anion corrections = -1700.3 meV per atom

The following is a DFT calculation (PBE) of a relaxed structure of Tm2NiS.

a b c (Å): 3.514 3.514 8.702
angles (deg): 78.35 78.35 60.00
Sites, in units of the cell vectors:
Tm 0.099 0.099 0.704
Tm 0.901 0.901 0.296
S 0.500 0.500 0.500
Ni 0.000 0.000 0.000

Calculated values
ΔE to the lowest computed polymorph = 3.18 eV per formula unit
formation energy without anion corrections = -423.5 meV per atom

The following is a DFT calculation (PBE) of a relaxed structure of Tm2NiS.

a b c (Å): 3.783 3.783 7.152
angles (deg): 74.67 74.67 60.00
Sites, in units of the cell vectors:
Tm 0.076 0.076 0.772
Tm 0.258 0.258 0.227
S 0.499 0.499 0.502
Ni 0.667 0.667 0.000

Calculated values
ΔE to the lowest computed polymorph = 0.63 eV per formula unit
formation energy without anion corrections = -1062.9 meV per atom